No. 1
Here is a relaxed TlZn2In crystal from Alexandria via LeMat-Bulk. Energies are from PBE-GGA.

Computed properties:
As for the size of the total moment: 0.00 μB/cell. Its energy relative to the lowest polymorph listed for this composition is 36 meV/atom. The value obtained for the electronic total energy is -1.775 eV/atom. As for the energy relative to the elements: 0.139 eV/atom.

a b c (Å): 11.4456 3.3895 4.9032
angles (deg): 90.00 107.91 90.00
Closest atoms and distances in Å follow each position.
Space group Cm (No. 8)
Unique sites:
Tl (0.0000, 0.0000, 0.0000) (multiplicity 2)  7 Zn 3.03-3.27, 2 In 3.34-3.37, 2 Tl 3.39
Zn (0.0572, 0.5000, 0.5374) (multiplicity 2)  2 Zn 2.75, 4 Tl 3.03-3.06, 1 In 3.07
Zn (0.2434, 0.0000, 0.8225) (multiplicity 2)  2 Zn 2.75, 4 In 3.01-3.03
In (0.2902, 0.5000, 0.3538) (multiplicity 2)  7 Zn 3.01-3.37, 2 Tl 3.34-3.37

---

No. 2
Here is a relaxed TlZnIn crystal from Alexandria via LeMat-Bulk. Energies are from PBE-GGA.

Computed properties:
As for the size of the total moment: 0.00 μB/cell. The value obtained for the electronic total energy is -2.049 eV/atom. As for the energy relative to the elements: 0.077 eV/atom.

a b c (Å): 3.3867 4.5513 9.9357
angles (deg): 99.31 91.01 90.12
Closest atoms and distances in Å follow each position.
Space group P-1 (No. 2)
Unique sites:
Tl (0.2442, 0.2153, 0.3993) (multiplicity 2)  1 Zn 3.03, 2 Tl 3.39
Zn (0.2545, 0.1409, 0.0911) (multiplicity 2)  2 Zn 2.65-2.66, 2 In 2.90-2.92
In (0.2455, 0.3436, 0.8216) (multiplicity 2)  5 Zn 2.90-3.02

---

No. 3
Here is a relaxed Tl3ZnIn6 crystal from Alexandria via LeMat-Bulk. Energies are from PBE-GGA.

Computed properties:
As for the size of the total moment: 0.00 μB/cell. The value obtained for the electronic total energy is -2.416 eV/atom. As for the energy relative to the elements: 0.064 eV/atom.

a b c (Å): 10.8302 4.6077 12.3817
angles (deg): 90.00 114.78 90.00
Closest atoms and distances in Å follow each position.
Space group P2_1/m (No. 11)
Unique sites:
Tl (0.0056, 0.2500, 0.3265) (multiplicity 2)  6 In 3.05-3.35
Tl (0.2112, 0.2500, 0.9150) (multiplicity 2)  7 In 3.35-3.64, 2 Tl 3.73
Tl (0.2428, 0.7500, 0.1998) (multiplicity 2)  1 Zn 3.16, 7 In 3.21-3.48
Zn (0.4397, 0.2500, 0.6451) (multiplicity 2)  9 In 2.92-3.26, 1 Tl 3.16
In (0.0198, 0.2500, 0.0853) (multiplicity 2)  2 In 3.03, 3 Tl 3.05-3.21
In (0.1587, 0.2500, 0.6192) (multiplicity 2)  1 Zn 2.92, 2 Tl 3.15, 2 In 3.24
In (0.2416, 0.7500, 0.4725) (multiplicity 2)  2 Zn 3.26, 6 In 3.28-3.39, 3 Tl 3.35-3.38
In (0.3710, 0.7500, 0.7706) (multiplicity 2)  2 Zn 3.04, 6 In 3.17-3.40
In (0.4139, 0.2500, 0.3928) (multiplicity 2)  3 Zn 2.94-3.02, 2 Tl 3.28
In (0.4439, 0.7500, 0.0655) (multiplicity 2)  5 In 3.17-3.40, 3 Tl 3.25-3.35, 1 Zn 3.26